Compound: CaCr2O7
Source: the Alexandria database
Functional: PBE+U
Structure: optimized geometry

Unit cell a=7.3748 b=7.2996 c=6.8756 alpha=75.01 beta=90.00 gamma=90.00
With the nearest neighbours (Å) after each atom.
Sites, in units of the cell vectors:
1 Ca 0.1083 0.0287 0.3677  7 O 2.30-2.56
2 Ca 0.6083 0.9713 0.6323  7 O 2.30-2.56
3 Cr 0.1103 0.9124 0.8491  4 O 1.62-1.73
4 Cr 0.6103 0.0876 0.1509  4 O 1.62-1.73
5 Cr 0.6895 0.4322 0.7537  3 O 1.60-1.65
6 Cr 0.1895 0.5678 0.2463  3 O 1.60-1.65
7 O 0.4061 0.5612 0.2506  1 Cr 1.60
8 O 0.9061 0.4388 0.7494  1 Cr 1.60
9 O 0.7864 0.0368 0.3057  1 Cr 1.66
10 O 0.2864 0.9632 0.6943  1 Cr 1.66
11 O 0.1033 0.3528 0.3193  1 Cr 1.65
12 O 0.6033 0.6472 0.6807  1 Cr 1.65
13 O 0.4309 0.0508 0.3009  1 Cr 1.66
14 O 0.9309 0.9492 0.6991  1 Cr 1.66
15 O 0.1157 0.7054 0.3841  1 Cr 1.64
16 O 0.6157 0.2946 0.6159  1 Cr 1.64
17 O 0.1173 0.6781 0.9888  2 Cr 1.73-1.83
18 O 0.6173 0.3219 0.0112  2 Cr 1.73-1.83
19 O 0.1071 0.0455 0.0052  1 Cr 1.62
20 O 0.6071 0.9545 0.9948  1 Cr 1.62

Values from the calculation:
- Energy: -6.7694 eV per atom
- V: 358 Å³ per cell